Entry from Alexandria via LeMat-Bulk: a relaxed ThSc2Tl3 crystal (PBE-GGA).

Cell: 3.5127 3.5127 12.3276 Å, 90.00 90.00 90.00°
With the nearest neighbours (Å) after each atom.
Sites, in units of the cell vectors:
Th (0.0000, 0.0000, 0.0000)  8 Tl 3.41, 4 Th 3.51
Sc (0.0000, 0.0000, 0.3435)  8 Tl 3.13-3.14
Sc (0.0000, 0.0000, 0.6565)  8 Tl 3.13-3.14
Tl (0.5000, 0.5000, 0.1895)  4 Sc 3.13, 4 Th 3.41
Tl (0.5000, 0.5000, 0.5000)  8 Sc 3.14, 4 Tl 3.51
Tl (0.5000, 0.5000, 0.8105)  4 Sc 3.13, 4 Th 3.41

Summary:
V: 25.35 A^3/atom
calculated formation energy: -0.22 eV per atom
space group: P4/mmm